This record from Alexandria describes DyNbP2 after structural relaxation. The functional is PBE-GGA.

Output
DFT total energy: -7.494 eV per atom
crystal system: trigonal
DOS at the Fermi energy: 1.6 states/eV/f.u.
calculated formation energy: -1122 meV/atom

a = 3.7483 Å, b = 3.7483 Å, c = 18.7333 Å
α = 90.00°, β = 90.00°, γ = 120.00°
With the nearest neighbours (Å) after each atom.
Space group R-3m (No. 166, hexagonal axes)
Inequivalent atoms, fractional coordinates:
Dy1 0.0000 0.0000 0.0000  6 P 2.76
Nb1 0.0000 0.0000 0.5000  6 P 2.58
P1 0.0000 0.0000 0.2419  3 Nb 2.58, 3 Dy 2.76